Record 1
# TbCoCu (PBE, optimized geometry)
data_TbCoCu
_cell_length_a 5.484
_cell_length_b 5.484
_cell_length_c 4.484
_cell_angle_alpha 114.06
_cell_angle_beta 114.06
_cell_angle_gamma 68.28
_space_group_name_H-M_alt 'P 1'
_space_group_IT_number 1
loop_
_space_group_symop_operation_xyz
'x,y,z'
loop_
_atom_site_label
_atom_site_type_symbol
_atom_site_fract_x
_atom_site_fract_y
_atom_site_fract_z
Tb1 Tb 0.000 0.500 0.000
Tb2 Tb 0.500 0.000 0.500
Co1 Co 0.000 0.000 0.000
Co2 Co 0.000 0.000 0.500
Cu1 Cu 0.367 0.633 0.750
Cu2 Cu 0.633 0.367 0.250
# Symmetry ... No. 15
# Total energy ... -32.23 eV/cell

***

Record 2
# Tb3Co3Cu (PBE, optimized geometry)
data_Tb3Co3Cu
_cell_length_a 5.360
_cell_length_b 5.360
_cell_length_c 12.492
_cell_angle_alpha 90.00
_cell_angle_beta 90.00
_cell_angle_gamma 133.47
_space_group_name_H-M_alt 'P 1'
_space_group_IT_number 1
loop_
_space_group_symop_operation_xyz
'x,y,z'
loop_
_atom_site_label
_atom_site_type_symbol
_atom_site_fract_x
_atom_site_fract_y
_atom_site_fract_z
Tb1 Tb 0.008 0.992 0.750
Tb2 Tb 0.283 0.717 0.104
Tb3 Tb 0.283 0.717 0.396
Tb4 Tb 0.717 0.283 0.604
Tb5 Tb 0.717 0.283 0.896
Tb6 Tb 0.992 0.008 0.250
Co1 Co 0.311 0.689 0.750
Co2 Co 0.428 0.572 0.589
Co3 Co 0.428 0.572 0.911
Co4 Co 0.572 0.428 0.089
Co5 Co 0.572 0.428 0.411
Co6 Co 0.689 0.311 0.250
Cu1 Cu 0.000 0.000 0.000
Cu2 Cu 0.000 0.000 0.500
# Symmetry ... No. 63
# Total energy ... -81.38 eV/cell

***

Record 3
# Tb4Co2Cu (PBE, optimized geometry)
data_Tb4Co2Cu
_cell_length_a 6.932
_cell_length_b 6.932
_cell_length_c 7.381
_cell_angle_alpha 105.82
_cell_angle_beta 105.82
_cell_angle_gamma 74.43
_space_group_name_H-M_alt 'P 1'
_space_group_IT_number 1
loop_
_space_group_symop_operation_xyz
'x,y,z'
loop_
_atom_site_label
_atom_site_type_symbol
_atom_site_fract_x
_atom_site_fract_y
_atom_site_fract_z
Tb1 Tb 0.000 0.000 0.000
Tb2 Tb 0.484 0.955 0.350
Tb3 Tb 0.497 0.966 0.855
Tb4 Tb 0.501 0.501 0.483
Tb5 Tb 0.504 0.504 0.998
Tb6 Tb 0.955 0.484 0.350
Tb7 Tb 0.966 0.497 0.855
Tb8 Tb 0.992 0.992 0.476
Co1 Co 0.192 0.686 0.207
Co2 Co 0.686 0.192 0.207
Co3 Co 0.780 0.780 0.633
Co4 Co 0.782 0.782 0.124
Cu1 Cu 0.282 0.282 0.632
Cu2 Cu 0.288 0.288 0.130
# Symmetry ... No. 8
# Total energy ... -75.83 eV/cell

***

Record 4
# Tb3CoCu (PBE, optimized geometry)
data_Tb3CoCu
_cell_length_a 5.814
_cell_length_b 6.090
_cell_length_c 7.660
_cell_angle_alpha 75.81
_cell_angle_beta 85.40
_cell_angle_gamma 62.61
_space_group_name_H-M_alt 'P 1'
_space_group_IT_number 1
loop_
_space_group_symop_operation_xyz
'x,y,z'
loop_
_atom_site_label
_atom_site_type_symbol
_atom_site_fract_x
_atom_site_fract_y
_atom_site_fract_z
Tb1 Tb 0.036 0.179 0.142
Tb2 Tb 0.295 0.199 0.666
Tb3 Tb 0.387 0.484 0.227
Tb4 Tb 0.613 0.516 0.773
Tb5 Tb 0.705 0.801 0.334
Tb6 Tb 0.964 0.821 0.858
Co1 Co 0.469 0.833 0.990
Co2 Co 0.531 0.167 0.010
Cu1 Cu 0.193 0.795 0.496
Cu2 Cu 0.807 0.205 0.504
# Symmetry ... No. 2
# Total energy ... -51.73 eV/cell

***

Record 5
# Tb3Co2Cu4 (PBE, optimized geometry)
data_Tb3Co2Cu4
_cell_length_a 5.551
_cell_length_b 5.551
_cell_length_c 8.069
_cell_angle_alpha 106.65
_cell_angle_beta 106.65
_cell_angle_gamma 43.35
_space_group_name_H-M_alt 'P 1'
_space_group_IT_number 1
loop_
_space_group_symop_operation_xyz
'x,y,z'
loop_
_atom_site_label
_atom_site_type_symbol
_atom_site_fract_x
_atom_site_fract_y
_atom_site_fract_z
Tb1 Tb 0.000 0.000 0.000
Tb2 Tb 0.324 0.324 0.346
Tb3 Tb 0.676 0.676 0.654
Co1 Co 0.395 0.395 0.728
Co2 Co 0.605 0.605 0.272
Cu1 Cu 0.045 0.045 0.378
Cu2 Cu 0.279 0.279 0.940
Cu3 Cu 0.721 0.721 0.060
Cu4 Cu 0.955 0.955 0.622
# Symmetry ... No. 12
# Total energy ... -45.92 eV/cell

***

Record 6
# Tb3CoCu (PBE, optimized geometry)
data_Tb3CoCu
_cell_length_a 5.968
_cell_length_b 5.968
_cell_length_c 8.005
_cell_angle_alpha 110.05
_cell_angle_beta 110.05
_cell_angle_gamma 62.98
_space_group_name_H-M_alt 'P 1'
_space_group_IT_number 1
loop_
_space_group_symop_operation_xyz
'x,y,z'
loop_
_atom_site_label
_atom_site_type_symbol
_atom_site_fract_x
_atom_site_fract_y
_atom_site_fract_z
Tb1 Tb 0.009 0.009 0.229
Tb2 Tb 0.305 0.305 0.664
Tb3 Tb 0.310 0.310 0.144
Tb4 Tb 0.690 0.690 0.856
Tb5 Tb 0.695 0.695 0.336
Tb6 Tb 0.991 0.991 0.771
Co1 Co 0.316 0.684 0.000
Co2 Co 0.684 0.316 0.000
Cu1 Cu 0.298 0.702 0.500
Cu2 Cu 0.702 0.298 0.500
# Symmetry ... No. 12
# Total energy ... -51.68 eV/cell

***

Record 7
# Tb12Co6Cu (PBE, optimized geometry)
data_Tb12Co6Cu
_cell_length_a 7.998
_cell_length_b 7.998
_cell_length_c 7.998
_cell_angle_alpha 100.92
_cell_angle_beta 100.92
_cell_angle_gamma 100.92
_space_group_name_H-M_alt 'P 1'
_space_group_IT_number 1
loop_
_space_group_symop_operation_xyz
'x,y,z'
loop_
_atom_site_label
_atom_site_type_symbol
_atom_site_fract_x
_atom_site_fract_y
_atom_site_fract_z
Tb1 Tb 0.062 0.913 0.670
Tb2 Tb 0.087 0.330 0.938
Tb3 Tb 0.177 0.565 0.411
Tb4 Tb 0.330 0.938 0.087
Tb5 Tb 0.411 0.177 0.565
Tb6 Tb 0.435 0.589 0.823
Tb7 Tb 0.565 0.411 0.177
Tb8 Tb 0.589 0.823 0.435
Tb9 Tb 0.670 0.062 0.913
Tb10 Tb 0.823 0.435 0.589
Tb11 Tb 0.913 0.670 0.062
Tb12 Tb 0.938 0.087 0.330
Co1 Co 0.135 0.307 0.613
Co2 Co 0.307 0.613 0.135
Co3 Co 0.387 0.865 0.693
Co4 Co 0.613 0.135 0.307
Co5 Co 0.693 0.387 0.865
Co6 Co 0.865 0.693 0.387
Cu1 Cu 0.000 0.000 0.000
# Symmetry ... No. 148
# Total energy ... -102.71 eV/cell

***

Record 8
# TbTiCoCu (PBE, optimized geometry)
data_TbTiCoCu
_cell_length_a 4.571
_cell_length_b 4.571
_cell_length_c 4.571
_cell_angle_alpha 60.00
_cell_angle_beta 60.00
_cell_angle_gamma 60.00
_space_group_name_H-M_alt 'P 1'
_space_group_IT_number 1
loop_
_space_group_symop_operation_xyz
'x,y,z'
loop_
_atom_site_label
_atom_site_type_symbol
_atom_site_fract_x
_atom_site_fract_y
_atom_site_fract_z
Tb1 Tb 0.000 0.000 0.000
Ti1 Ti 0.500 0.500 0.500
Co1 Co 0.250 0.250 0.250
Cu1 Cu 0.750 0.750 0.750
# Symmetry ... No. 216
# Total energy ... -23.92 eV/cell

***

Record 9
# TbTmCoCu (PBE, optimized geometry)
data_TbTmCoCu
_cell_length_a 4.785
_cell_length_b 4.785
_cell_length_c 4.785
_cell_angle_alpha 60.00
_cell_angle_beta 60.00
_cell_angle_gamma 60.00
_space_group_name_H-M_alt 'P 1'
_space_group_IT_number 1
loop_
_space_group_symop_operation_xyz
'x,y,z'
loop_
_atom_site_label
_atom_site_type_symbol
_atom_site_fract_x
_atom_site_fract_y
_atom_site_fract_z
Tb1 Tb 0.000 0.000 0.000
Tm1 Tm 0.500 0.500 0.500
Co1 Co 0.750 0.750 0.750
Cu1 Cu 0.250 0.250 0.250
# Symmetry ... No. 216
# Total energy ... -21.13 eV/cell

***

Record 10
# TbTmCoCu (PBE, optimized geometry)
data_TbTmCoCu
_cell_length_a 4.217
_cell_length_b 5.406
_cell_length_c 5.406
_cell_angle_alpha 40.92
_cell_angle_beta 90.00
_cell_angle_gamma 90.00
_space_group_name_H-M_alt 'P 1'
_space_group_IT_number 1
loop_
_space_group_symop_operation_xyz
'x,y,z'
loop_
_atom_site_label
_atom_site_type_symbol
_atom_site_fract_x
_atom_site_fract_y
_atom_site_fract_z
Tb1 Tb 0.000 0.000 0.000
Tm1 Tm 0.500 0.718 0.718
Co1 Co 0.000 0.284 0.284
Cu1 Cu 0.500 0.424 0.424
# Symmetry ... No. 38
# Total energy ... -21.22 eV/cell

***

Record 11
# TbZnCoCu (PBE, optimized geometry)
data_TbZnCoCu
_cell_length_a 4.506
_cell_length_b 4.506
_cell_length_c 4.506
_cell_angle_alpha 60.00
_cell_angle_beta 60.00
_cell_angle_gamma 60.00
_space_group_name_H-M_alt 'P 1'
_space_group_IT_number 1
loop_
_space_group_symop_operation_xyz
'x,y,z'
loop_
_atom_site_label
_atom_site_type_symbol
_atom_site_fract_x
_atom_site_fract_y
_atom_site_fract_z
Tb1 Tb 0.000 0.000 0.000
Zn1 Zn 0.500 0.500 0.500
Co1 Co 0.250 0.250 0.250
Cu1 Cu 0.750 0.750 0.750
# Symmetry ... No. 216
# Total energy ... -17.33 eV/cell

***

Record 12
# Tb2Zn3CoCu12 (PBE, optimized geometry)
data_Tb2Zn3CoCu12
_cell_length_a 12.336
_cell_length_b 12.336
_cell_length_c 12.336
_cell_angle_alpha 24.09
_cell_angle_beta 24.09
_cell_angle_gamma 24.09
_space_group_name_H-M_alt 'P 1'
_space_group_IT_number 1
loop_
_space_group_symop_operation_xyz
'x,y,z'
loop_
_atom_site_label
_atom_site_type_symbol
_atom_site_fract_x
_atom_site_fract_y
_atom_site_fract_z
Tb1 Tb 0.146 0.146 0.146
Tb2 Tb 0.854 0.854 0.854
Zn1 Zn 0.000 0.500 0.500
Zn2 Zn 0.500 0.000 0.500
Zn3 Zn 0.500 0.500 0.000
Co1 Co 0.500 0.500 0.500
Cu1 Cu 0.105 0.105 0.623
Cu2 Cu 0.105 0.623 0.105
Cu3 Cu 0.115 0.608 0.608
Cu4 Cu 0.377 0.895 0.895
Cu5 Cu 0.392 0.392 0.885
Cu6 Cu 0.392 0.885 0.392
Cu7 Cu 0.608 0.115 0.608
Cu8 Cu 0.608 0.608 0.115
Cu9 Cu 0.623 0.105 0.105
Cu10 Cu 0.885 0.392 0.392
Cu11 Cu 0.895 0.377 0.895
Cu12 Cu 0.895 0.895 0.377
# Symmetry ... No. 166
# Total energy ... -68.05 eV/cell

***

Record 13
# Co3CuTc (PBE, optimized geometry)
data_Co3CuTc
_cell_length_a 4.225
_cell_length_b 4.225
_cell_length_c 4.225
_cell_angle_alpha 90.00
_cell_angle_beta 90.00
_cell_angle_gamma 90.00
_space_group_name_H-M_alt 'P 1'
_space_group_IT_number 1
loop_
_space_group_symop_operation_xyz
'x,y,z'
loop_
_atom_site_label
_atom_site_type_symbol
_atom_site_fract_x
_atom_site_fract_y
_atom_site_fract_z
Co1 Co 0.000 0.000 0.500
Co2 Co 0.000 0.500 0.000
Co3 Co 0.500 0.000 0.000
Cu1 Cu 0.000 0.000 0.000
Tc1 Tc 0.500 0.500 0.500
# Symmetry ... No. 221
# Total energy ... -28.47 eV/cell